No. 1
This record from Alexandria via LeMat-Bulk describes a relaxed Y2Cr crystal. The functional is PBE.

```
Y2Cr
1.0
1.811 -8.198 0.000
1.811 8.198 0.000
0.000 0.000 5.435
Cr Y
2 4
Direct
0.722 0.278 0.750
0.278 0.722 0.250
0.631 0.369 0.250
0.369 0.631 0.750
0.933 0.067 0.250
0.067 0.933 0.750
```

* total energy: -7.078 eV/atom
* space group: No. 63

No. 2
This record from Alexandria via LeMat-Bulk describes a relaxed SiP2C crystal. The functional is PBE.

```
SiP2C
1.0
-3.170 -1.493 1.127
0.696 -3.191 2.935
-0.475 2.574 3.587
C Si P
1 1 2
Direct
0.310 0.160 0.068
0.459 0.728 0.005
0.530 0.283 0.346
0.099 0.491 0.786
```

* raw formation energy: 0.401 eV per atom
* space group: No. 1
* distance to the lowest polymorph of the same formula: 206 meV per atom